Here is a geometry-optimized TaMnIrRh structure from the Alexandria database. Energies are from GGA-PBE.

Polymorph energy (0 for the lowest one) (meV/atom): 0.0
Calculated density (g/cm³): 14.559
V (A^3/atom): 15.14
Magnetic moment (μB/cell): 7.95
Fermi-level density of states (states/eV/cell): 5.8
Calculated formation energy (eV/f.u.): -1.751

Cell: 4.102 4.102 7.197 Å, 90.00 90.00 90.00°
Space group I-4m2 (No. 119)
Asymmetric unit:
Ta 0.000 0.000 0.000 [2 per cell]
Mn 0.000 0.000 0.500 [2 per cell]
Ir 0.000 0.500 0.750 [2 per cell]
Rh 0.000 0.500 0.250 [2 per cell]